Ca2ZrSb: relaxed, PBE.

a = 6.3898 Å, b = 10.5322 Å, c = 3.3472 Å
α = 90.00°, β = 96.25°, γ = 90.00°
Space group C2/m (No. 12)
Symmetry-distinct sites (fractional):
Ca 0.2500 0.2500 0.0000 [4 per cell]
Zr 0.0000 0.0000 0.5000 [2 per cell]
Sb 0.0000 0.5000 0.5000 [2 per cell]

Properties
Energy ... -4.281 eV/atom
Formation energy from raw total energies ... -112.6 meV per atom

HoSc3Cd: relaxed, PBE.

a = 5.2606 Å, b = 6.3292 Å, c = 7.9438 Å
α = 90.00°, β = 109.10°, γ = 90.00°
Space group P2_1/m (No. 11)
Symmetry-distinct sites (fractional):
Ho 0.0973 0.2500 0.1909 [2 per cell]
Sc 0.3102 0.0004 0.6205 [4 per cell]
Sc 0.4903 0.2500 0.9737 [2 per cell]
Cd 0.1276 0.7500 0.2597 [2 per cell]

Properties
Energy ... -4.897 eV/atom
E above lowest polymorph ... 86.7 meV/atom

It is found that the DOS at the Fermi energy values, taken in the order of the records, are 6.93; 16.29 states/eV per cell.
It is found that the magnetic moment values, taken in the order of the records, are 0.00; 1.71 μB per cell.